Below is an optimized crystal structure of Pm2GaHg, with properties calculated at the PBEsol level.

POSCAR file:
```
Pm2GaHg
1.0
0.000 3.688 3.688
3.688 0.000 3.688
3.688 3.688 0.000
Pm Ga Hg
2 1 1
Direct
0.250 0.250 0.250
0.750 0.750 0.750
0.000 0.000 0.000
0.500 0.500 0.500
```

Output
Crystal system ... cubic
Symmetry ... Fm-3m, No. 225

---

Below is an optimized crystal structure of CaBiO3, with properties calculated at the PBEsol level.

POSCAR file:
```
CaBiO3
1.0
6.011 0.000 0.000
0.000 8.316 0.000
0.000 0.000 5.754
Ca Bi O
4 4 12
Direct
0.058 0.250 0.018
0.442 0.750 0.518
0.558 0.250 0.482
0.942 0.750 0.982
0.000 0.000 0.500
0.000 0.500 0.500
0.500 0.000 0.000
0.500 0.500 0.000
0.066 0.750 0.366
0.196 0.571 0.808
0.196 0.929 0.808
0.304 0.071 0.308
0.304 0.429 0.308
0.434 0.250 0.866
0.566 0.750 0.134
0.696 0.571 0.692
0.696 0.929 0.692
0.804 0.071 0.192
0.804 0.429 0.192
0.934 0.250 0.634
```

Output
Crystal system ... orthorhombic
Symmetry ... Pnma, No. 62

---

Below is an optimized crystal structure of YFe3Cu, with properties calculated at the PBEsol level.

POSCAR file:
```
YFe3Cu
1.0
4.497 0.000 0.000
0.000 4.497 0.000
0.000 0.000 4.497
Y Fe Cu
1 3 1
Direct
0.000 0.000 0.000
0.000 0.000 0.500
0.000 0.500 0.000
0.500 0.000 0.000
0.500 0.500 0.500
```

Output
Crystal system ... cubic
Symmetry ... Pm-3m, No. 221

---

Below is an optimized crystal structure of W2SeBr, with properties calculated at the PBEsol level.

POSCAR file:
```
W2SeBr
1.0
2.949 -4.364 0.000
2.949 4.364 0.000
-0.763 0.000 2.699
W Se Br
2 1 1
Direct
0.000 0.500 0.000
0.500 0.000 0.000
0.000 0.000 0.000
0.500 0.500 0.000
```

Output
Relative energy among the computed polymorphs ... 891 meV per atom
Crystal system ... monoclinic
Symmetry ... C2/m, No. 12

---

For reference, total magnetization by record: 0.01, 0.00, 6.31, 0.00 μB/f.u..
For reference, calculated total energy by record: -4.096, -6.297, -5.554, -7.304 eV/atom.